! Ho3PtAu2 PBE optimized geometry; values from VASP
&SYSTEM
  ibrav = 0, nat = 12, ntyp = 3
/
ATOMIC_SPECIES
Pt 195.08 Pt.upf
Ho 164.93 Ho.upf
Au 196.97 Au.upf
ATOMIC_POSITIONS angstrom
Pt 5.8424 6.1553 0.0005
Pt 0.0076 2.0518 0.0002
Ho 0.0121 4.1032 1.9355
Ho -0.0121 -0.0003 1.9351
Ho 2.9334 2.0518 0.0002
Ho 2.9129 2.0501 4.3324
Ho 2.9166 6.1553 0.0005
Ho 2.9371 6.1536 4.3328
Au 0.0114 6.1528 4.1156
Au -0.0114 2.0493 4.1152
Au 2.9363 4.1040 2.1526
Au 2.9136 0.0005 2.1523
CELL_PARAMETERS angstrom
5.8500 0.0000 0.0000
0.0000 8.2070 0.0007
-2.9250 -2.0537 6.2671
! ΔE to the lowest computed polymorph: 0.074 eV/atom
! Formation energy: -924 meV/atom
! M_tot: 0.00 Bohr magnetons per cell
! Density: 11.962 Mg/m³
! Space-group type: C2/c

! LaAlZn4Ag2 PBE optimized geometry; values from VASP
&SYSTEM
  ibrav = 0, nat = 8, ntyp = 4
/
ATOMIC_SPECIES
La 138.91 La.upf
Zn 65.41 Zn.upf
Ag 107.87 Ag.upf
Al 26.98 Al.upf
ATOMIC_POSITIONS angstrom
La 0.0000 0.0000 0.0000
Zn 2.2107 1.2764 5.7035
Zn 4.4214 2.5527 1.8367
Zn 4.4214 2.5527 7.3372
Zn 6.6321 3.8291 3.4705
Ag 2.2107 1.2764 2.6048
Ag 6.6321 3.8291 6.5692
Al 4.4214 2.5527 4.5870
CELL_PARAMETERS angstrom
4.4214 0.0000 0.0000
2.2107 3.8291 0.0000
2.2107 1.2764 9.1739
! Formation energy: -129 meV/atom
! M_tot: 0.00 Bohr magnetons per cell
! Density: 6.877 Mg/m³
! Space-group type: R-3m

! CsScCuI6 PBE optimized geometry; values from VASP
&SYSTEM
  ibrav = 0, nat = 9, ntyp = 4
/
ATOMIC_SPECIES
Sc 44.96 Sc.upf
Cs 132.91 Cs.upf
I 126.90 I.upf
Cu 63.55 Cu.upf
ATOMIC_POSITIONS angstrom
Sc 9.3542 3.7466 4.8983
Cs 4.4112 4.7942 0.4456
I 12.0311 3.8955 6.1642
I 5.4783 0.2535 2.6668
I 6.6842 3.8796 3.6158
I 4.3946 0.2626 6.2321
I 8.3097 2.1374 6.9149
I 10.4071 2.1265 2.8932
Cu 4.9391 2.0924 4.4469
CELL_PARAMETERS angstrom
8.8137 -0.0096 0.8918
4.4128 5.8249 0.4412
1.0730 -0.0159 8.0137
! M_tot: 0.58 Bohr magnetons per cell
! Formation energy (no corrections): -20.672 kcal/mol of atoms
! Density: 4.100 Mg/m³
! Space-group type: P1

! Hf3Mg3Zr PBE optimized geometry; values from VASP
&SYSTEM
  ibrav = 0, nat = 14, ntyp = 3
/
ATOMIC_SPECIES
Mg 24.30 Mg.upf
Hf 178.49 Hf.upf
Zr 91.22 Zr.upf
ATOMIC_POSITIONS angstrom
Mg 3.7403 7.0115 -2.4237
Mg 3.7403 1.7538 -0.6118
Mg 1.2468 1.4068 1.2129
Mg 1.2468 0.3470 6.6721
Mg 3.7403 5.9518 3.0355
Mg 1.2468 5.6047 4.8603
Hf 1.2468 4.5736 1.7949
Hf 1.2468 6.6261 -0.6098
Hf 3.7403 3.8412 5.4335
Hf 1.2468 3.5173 -1.1850
Hf 3.7403 2.7849 2.4536
Hf 3.7403 0.7324 4.8583
Zr 3.7403 4.9057 0.0000
Zr 1.2468 2.4528 4.2484
CELL_PARAMETERS angstrom
4.9871 0.0000 0.0000
0.0000 7.3585 -4.2484
0.0000 0.0000 8.4969
! Formation energy: 72 meV/atom
! M_tot: 0.00 Bohr magnetons per cell
! Density: 7.451 Mg/m³
! Space-group type: P6_3/m

Electronic total energy, record by record: -63.75, -20.50, -28.65, -85.38 eV/cell